Below is CdFe2RhN after structural relaxation, with properties calculated at the PBE level.

Calculated values
The density of states at the Fermi level is 0.7842 states/eV per atom. The calculation puts the formation energy from raw total energies at 4 meV/atom. As for the volume: 64 Å³/cell. Its crystal system is tetragonal.

Cell and atoms, written as extended XYZ:
```
5
Lattice="3.8837 0.0000 0.0000 0.0000 3.8837 0.0000 0.0000 0.0000 4.2285" Properties=species:S:1:pos:R:3 pbc="T T T"
Rh 0.0000 0.0000 2.1143
N 0.0000 0.0000 0.0000
Fe 1.9419 0.0000 0.0000
Fe 0.0000 1.9419 0.0000
Cd 1.9419 1.9419 2.1143
```